[1]
Below is a relaxed TcRhIO2 crystal, with properties calculated at the PBE level.

Computed properties:
Raw total energy ... -5.349 eV/atom
Size of the total moment ... 3.61 μB per cell
Theoretical density ... 5.5 g/cm³
E_form (uncorrected) ... 2.438 eV per formula unit
Space group ... P4/mmm (123)

The structure in extended XYZ format:
```
5
Lattice="3.841 0.000 0.000 0.000 3.841 0.000 0.000 0.000 7.334" Properties=species:S:1:pos:R:3 pbc="T T T"
Tc 0.000 0.000 0.000
Rh 1.920 1.920 3.667
I 1.920 1.920 0.000
O 0.000 1.920 3.667
O 1.920 0.000 3.667
```


[2]
Below is a relaxed MgReN2O crystal, with properties calculated at the PBE level.

Computed properties:
Raw total energy ... -5.718 eV/atom
Size of the total moment ... 1.07 μB per cell
Theoretical density ... 8.0 g/cm³
E_form (uncorrected) ... 7.060 eV per formula unit
Space group ... P4/mmm (123)

The structure in extended XYZ format:
```
5
Lattice="3.847 0.000 0.000 0.000 3.847 0.000 0.000 0.000 3.583" Properties=species:S:1:pos:R:3 pbc="T T T"
Mg 0.000 0.000 0.000
Re 1.923 1.923 1.791
N 0.000 1.923 0.000
N 1.923 0.000 0.000
O 0.000 0.000 1.791
```


[3]
Below is a relaxed CaPrNd crystal, with properties calculated at the PBE level.

Computed properties:
Raw total energy ... -3.688 eV/atom
ΔE_f ... 0.16 eV per atom
Size of the total moment ... 0.00 μB per cell
Theoretical density ... 4.8 g/cm³
Space group ... P-6m2 (187)

The structure in extended XYZ format:
```
3
Lattice="5.998 0.000 0.000 -2.999 5.194 0.000 0.000 0.000 3.606" Properties=species:S:1:pos:R:3 pbc="T T T"
Ca 0.000 0.000 0.000
Pr 0.000 3.463 1.803
Nd 2.999 1.731 1.803
```